Record 1
DFT (PBE) results for an optimized crystal structure of LiTa2Pt.

Calculated values
ΔH_f (0 K) = 0.033 eV per atom
E = -7.882 eV per atom
Density of states at the Fermi level = 3.070 states/eV/f.u.
V = 17.3 Å³ per atom

```
LiTa2Pt
1.0
2.780 0.154 0.000
-0.155 2.780 0.000
0.000 0.000 8.912
Ta Li Pt
2 1 1
Direct
0.000 0.000 0.518
0.000 0.000 0.982
0.500 0.500 0.250
0.500 0.500 0.750
```

Record 2
DFT (PBE) results for an optimized crystal structure of Tm4FeCu3.

Calculated values
ΔH_f (0 K) = -0.196 eV per atom
E = -5.025 eV per atom
Density of states at the Fermi level = 6.315 states/eV/f.u.
V = 19.3 Å³ per atom

```
Tm4FeCu3
1.0
3.354 0.000 0.000
0.000 3.354 0.000
0.000 0.000 13.734
Tm Fe Cu
4 1 3
Direct
0.000 0.000 0.628
0.000 0.000 0.372
0.000 0.000 0.884
0.000 0.000 0.116
0.500 0.500 0.000
0.500 0.500 0.754
0.500 0.500 0.246
0.500 0.500 0.500
```

Record 3
DFT (PBE) results for an optimized crystal structure of CsTl2P.

Calculated values
ΔH_f (0 K) = 0.162 eV per atom
Energy above the most stable polymorph in this dataset = 229 meV per atom
E = -2.587 eV per atom
Density of states at the Fermi level = 0.974 states/eV/f.u.
V = 32.6 Å³ per atom

```
CsTl2P
1.0
0.000 4.025 4.025
4.025 0.000 4.025
4.025 4.025 0.000
Cs Tl P
1 2 1
Direct
0.500 0.500 0.500
0.250 0.250 0.250
0.750 0.750 0.750
0.000 0.000 0.000
```

Q: Which value of V does entry 1 give?
A: 17.3 Å³ per atom